# 1
Material: ScHgAu2
Method: DFT, PBE-GGA
State: optimized geometry

The space group is R-3m (No. 166, hexagonal axes) and the conventional cell measures 3.6823, 3.6823 and 23.0069 Å, with angles of 90.00, 90.00 and 120.00 degrees. The distinct sites, in fractional coordinates, are Sc at (0.0000, 0.0000, 0.0000), Hg at (0.0000, 0.0000, 0.5000) and Au at (0.0000, 0.0000, 0.2558).

For the electronic total energy, the calculation gives -0.1354 hartree per atom. The formation energy comes out at -387 meV per atom.

# 2
Material: LiAc2SnSe5
Method: DFT, PBE-GGA
State: optimized geometry

The space group is Cmc2_1 (No. 36) and the conventional cell measures 4.409, 18.490 and 12.232 Å, with angles of 90.00, 90.00 and 90.00 degrees. The distinct sites, in fractional coordinates, are Li at (0.000, 0.226, 0.000), Ac at (0.000, 0.121, 0.289), Ac at (0.000, 0.129, 0.667), Sn at (0.000, 0.416, 0.463), Se at (0.000, 0.031, 0.060), Se at (0.000, 0.298, 0.324), Se at (0.000, 0.304, 0.637), Se at (0.000, 0.361, 0.981) and Se at (0.000, 0.489, 0.266).

For the electronic total energy, the calculation gives -0.1810 hartree per atom. As for the formation energy (no corrections): -1.42 eV/atom.

# 3
Material: Ag12Te5P3
Method: DFT, PBE-GGA
State: optimized geometry

The space group is Ia-3d (No. 230) and the conventional cell measures 15.770, 15.770 and 15.770 Å, with angles of 90.00, 90.00 and 90.00 degrees. The distinct sites, in fractional coordinates, are Ag at (0.021, 0.096, 0.650), Te at (0.000, 0.000, 0.000), Te at (0.000, 0.250, 0.375) and P at (0.000, 0.250, 0.125).

For the electronic total energy, the calculation gives -0.1151 hartree per atom. As for the formation energy (no corrections): 0.18 eV/atom.

# 4
Material: MnCo3
Method: DFT, PBE-GGA
State: optimized geometry

The space group is P4/mmm (No. 123) and the conventional cell measures 2.820, 2.820 and 5.839 Å, with angles of 90.00, 90.00 and 90.00 degrees. The distinct sites, in fractional coordinates, are Mn at (0.000, 0.000, 0.000), Co at (0.000, 0.000, 0.500) and Co at (0.500, 0.500, 0.258).

For the electronic total energy, the calculation gives -0.2780 hartree per atom. The formation energy comes out at 57 meV per atom.

Q: Look up the electronic total energy of the fourth one.
A: -0.2780 hartree per atom

Q: The highest electronic total energy belongs to which entry?
A: Ag12Te5P3

Q: Which value of electronic total energy does entry 3 give?
A: -0.1151 hartree per atom

Repeat the second record exactly.
Material: LiAc2SnSe5
Method: DFT, PBE-GGA
State: optimized geometry

The space group is Cmc2_1 (No. 36) and the conventional cell measures 4.409, 18.490 and 12.232 Å, with angles of 90.00, 90.00 and 90.00 degrees. The distinct sites, in fractional coordinates, are Li at (0.000, 0.226, 0.000), Ac at (0.000, 0.121, 0.289), Ac at (0.000, 0.129, 0.667), Sn at (0.000, 0.416, 0.463), Se at (0.000, 0.031, 0.060), Se at (0.000, 0.298, 0.324), Se at (0.000, 0.304, 0.637), Se at (0.000, 0.361, 0.981) and Se at (0.000, 0.489, 0.266).

For the electronic total energy, the calculation gives -0.1810 hartree per atom. As for the formation energy (no corrections): -1.42 eV/atom.